Y3Ge4Pd2: optimized geometry, PBE-GGA.

Energy above the most stable polymorph in this dataset in eV/atom: 0.0000
Raw total energy in eV per atom: -6.2376
Fermi-level density of states in states/eV per atom: 0.3566
Energy of formation in eV per atom: -0.8768

Structure (POSCAR):
```
Y3Ge4Pd2
1.0
4.285 0.000 0.000
-2.142 5.414 -0.133
0.000 -2.373 7.961
Ge Y Pd
4 3 2
Direct
0.292 0.584 0.935 Ge
0.924 0.847 0.601 Ge
0.708 0.416 0.065 Ge
0.076 0.153 0.399 Ge
0.372 0.744 0.305 Y
0.628 0.256 0.695 Y
0.000 0.000 0.000 Y
0.313 0.626 0.640 Pd
0.687 0.374 0.360 Pd
```

Y2GePd: optimized geometry, PBE-GGA.

Raw total energy in eV per atom: -5.4273
Fermi-level density of states in states/eV per atom: 1.0209
Energy of formation in eV per atom: 0.2573

Structure (POSCAR):
```
Y2GePd
1.0
-1.528 -3.718 -5.080
-2.002 -0.377 6.150
-0.867 5.373 3.514
Y Pd Ge
2 1 1
Direct
0.000 0.258 0.258 Y
0.000 0.742 0.742 Y
0.000 0.500 0.500 Pd
0.000 0.000 0.000 Ge
```

YGe2Pd6: optimized geometry, PBE-GGA.

Energy above the most stable polymorph in this dataset in eV/atom: 0.0362
Raw total energy in eV per atom: -5.7124
Fermi-level density of states in states/eV per atom: 0.3212
Energy of formation in eV per atom: -0.5062

Structure (POSCAR):
```
YGe2Pd6
1.0
-1.180 3.537 -4.099
0.390 -5.427 -1.050
-6.419 -0.701 1.243
Pd Y Ge
6 1 2
Direct
0.500 0.500 0.792 Pd
0.500 0.500 0.208 Pd
0.000 0.500 0.208 Pd
0.500 0.000 0.792 Pd
0.500 0.000 0.208 Pd
0.000 0.500 0.792 Pd
0.000 0.000 0.000 Y
0.667 0.333 0.500 Ge
0.333 0.667 0.500 Ge
```